Record 1
# Nd4Th3S8

A geometry-optimized Nd4Th3S8 structure (PBE-GGA, the Alexandria database).

Cell and atoms, written as extended XYZ:
```
15
Lattice="5.7052 -5.7144 0.0000 5.7052 5.7144 0.0000 -5.7040 0.0000 5.7223" Properties=species:S:1:pos:R:3 pbc="T T T"
Nd 0.0000 0.0000 0.0000
Nd 2.8526 2.8572 0.0000
Nd 2.8526 -2.8572 0.0000
Nd 2.8531 0.0000 2.8612
Th 0.0006 2.8572 2.8612
Th 0.0006 -2.8572 2.8612
Th 5.7052 0.0000 0.0000
S -0.0523 0.0000 2.8682
S 2.8531 2.8933 2.8612
S -2.8289 0.0000 5.6979
S 5.7052 2.8552 0.0000
S 5.7052 -2.8552 0.0000
S 8.5352 0.0000 0.0244
S 2.8531 -2.8933 2.8612
S 5.7586 0.0000 2.8541
```

DFT total energy ... -103.8 eV per cell
Formation energy (no corrections) ... -29.4 eV per formula unit

Record 2
# NdThTl2S4

A geometry-optimized NdThTl2S4 structure (PBE-GGA, the Alexandria database).

Cell and atoms, written as extended XYZ:
```
8
Lattice="7.2304 0.0000 0.0000 0.0000 4.1383 0.0000 -1.5365 0.0000 8.2149" Properties=species:S:1:pos:R:3 pbc="T T T"
Nd 0.0000 0.0000 0.0000
Th 3.6152 2.0691 0.0000
Tl -0.7683 2.0691 4.1074
Tl 2.8469 0.0000 4.1074
S 1.2686 2.0691 1.4804
S 0.9108 0.0000 6.7357
S 4.7830 0.0000 1.4792
S 4.4253 2.0691 6.7345
```

DFT total energy ... -44.3 eV per cell
Formation energy (no corrections) ... -10.9 eV per formula unit

Record 3
# NdTmTh2S4

A geometry-optimized NdTmTh2S4 structure (PBE-GGA, the Alexandria database).

Cell and atoms, written as extended XYZ:
```
8
Lattice="6.8458 0.0000 0.0000 0.0000 3.9817 0.0000 -2.2996 0.0000 6.6467" Properties=species:S:1:pos:R:3 pbc="T T T"
Nd 0.0000 0.0000 0.0000
Tm 3.4229 1.9908 0.0000
Th -1.1498 1.9908 3.3234
Th 2.2731 0.0000 3.3234
S 1.2041 1.9908 1.6073
S 0.0495 0.0000 5.0814
S 4.4968 0.0000 1.5653
S 3.3422 1.9908 5.0394
```

DFT total energy ... -55.7 eV per cell
Formation energy (no corrections) ... -15.1 eV per formula unit

Record 4
# Nd4TmTh3S8

A geometry-optimized Nd4TmTh3S8 structure (PBE-GGA, the Alexandria database).

Cell and atoms, written as extended XYZ:
```
16
Lattice="4.0241 2.3233 6.6114 -4.0241 2.3233 6.6114 0.0000 -4.6467 6.6114" Properties=species:S:1:pos:R:3 pbc="T T T"
Nd 0.0000 0.0000 0.0000
Nd -2.0121 -1.1617 6.6114
Nd -2.0121 1.1617 13.2229
Nd 0.0000 2.3233 6.6114
Tm 0.0000 0.0000 9.9171
Th -4.0241 0.0000 9.9171
Th -2.0121 1.1617 3.3057
Th 2.0121 1.1617 3.3057
S 0.0000 0.0000 4.9617
S 0.0000 -2.2567 8.3166
S -1.9544 1.1283 8.3166
S -1.9543 -1.1283 11.5177
S 1.9544 1.1283 8.3166
S 1.9543 -1.1283 11.5177
S 0.0000 2.2567 11.5177
S 0.0000 0.0000 14.8726
```

DFT total energy ... -109.8 eV per cell
Formation energy (no corrections) ... -30.9 eV per formula unit

Record 5
# Nd2TmThS4

A geometry-optimized Nd2TmThS4 structure (PBE-GGA, the Alexandria database).

Cell and atoms, written as extended XYZ:
```
8
Lattice="6.9376 0.0000 0.0000 0.0000 3.9741 0.0000 -2.2826 0.0000 6.6126" Properties=species:S:1:pos:R:3 pbc="T T T"
Nd 0.0000 0.0000 0.0000
Nd -1.1413 1.9871 3.3063
Tm 2.3275 0.0000 3.3063
Th 3.4688 1.9871 0.0000
S 0.0951 0.0000 4.9109
S 1.2389 1.9871 1.7486
S 3.4162 1.9871 4.8640
S 4.5600 0.0000 1.7016
```

DFT total energy ... -53.5 eV per cell
Formation energy (no corrections) ... -15.6 eV per formula unit

Record 6
# Nd3TmTh4S8

A geometry-optimized Nd3TmTh4S8 structure (PBE-GGA, the Alexandria database).

Cell and atoms, written as extended XYZ:
```
16
Lattice="3.9827 2.2994 6.7215 -3.9827 2.2994 6.7215 0.0000 -4.5988 6.7215" Properties=species:S:1:pos:R:3 pbc="T T T"
Nd -1.9913 -1.1497 6.7215
Nd -1.9913 1.1497 13.4430
Nd 0.0000 2.2994 6.7215
Tm 0.0000 0.0000 0.0000
Th -3.9827 0.0000 10.0823
Th -1.9913 1.1497 3.3607
Th 1.9913 1.1497 3.3608
Th 0.0000 0.0000 10.0823
S 0.0000 -2.3655 8.3482
S -2.0486 1.1827 8.3482
S -2.0486 -1.1827 11.8163
S 0.0000 0.0000 5.0493
S 0.0000 0.0000 15.1152
S 2.0486 1.1827 8.3482
S 2.0486 -1.1827 11.8163
S 0.0000 2.3655 11.8163
```

DFT total energy ... -112.0 eV per cell
Formation energy (no corrections) ... -30.5 eV per formula unit

Record 7
# Nd3YTh4S8

A geometry-optimized Nd3YTh4S8 structure (PBE-GGA, the Alexandria database).

Cell and atoms, written as extended XYZ:
```
16
Lattice="3.9961 2.3071 6.7168 -3.9961 2.3071 6.7168 0.0000 -4.6143 6.7168" Properties=species:S:1:pos:R:3 pbc="T T T"
Nd -1.9980 -1.1536 6.7168
Nd -1.9980 1.1536 13.4335
Nd 0.0000 2.3071 6.7168
Y 0.0000 0.0000 0.0000
Th -3.9961 0.0000 10.0751
Th -1.9980 1.1536 3.3584
Th 1.9980 1.1536 3.3584
Th 0.0000 0.0000 10.0751
S 0.0000 -2.3495 8.3610
S -2.0347 1.1748 8.3610
S -2.0347 -1.1748 11.7893
S 0.0000 0.0000 5.0433
S 0.0000 0.0000 15.1070
S 2.0347 1.1748 8.3610
S 2.0347 -1.1748 11.7892
S 0.0000 2.3495 11.7892
```

DFT total energy ... -114.2 eV per cell
Formation energy (no corrections) ... -30.7 eV per formula unit

Record 8
# NdY3Th4S8

A geometry-optimized NdY3Th4S8 structure (PBE-GGA, the Alexandria database).

Cell and atoms, written as extended XYZ:
```
16
Lattice="3.9394 2.2744 6.7251 -3.9394 2.2744 6.7251 0.0000 -4.5489 6.7251" Properties=species:S:1:pos:R:3 pbc="T T T"
Nd 0.0000 0.0000 0.0000
Y -1.9697 -1.1372 6.7251
Y -1.9697 1.1372 13.4502
Y 0.0000 2.2744 6.7251
Th -3.9394 0.0000 10.0876
Th -1.9697 1.1372 3.3625
Th 1.9697 1.1372 3.3626
Th 0.0000 0.0000 10.0877
S 0.0000 -2.2333 8.3352
S -1.9341 1.1167 8.3352
S 0.0000 0.0000 5.1421
S -1.9341 -1.1167 11.8401
S 1.9341 1.1167 8.3352
S 0.0000 0.0000 15.0332
S 1.9341 -1.1167 11.8401
S 0.0000 2.2333 11.8401
```

DFT total energy ... -117.5 eV per cell
Formation energy (no corrections) ... -30.6 eV per formula unit

Record 9
# Nd3Y2ThS6

A geometry-optimized Nd3Y2ThS6 structure (PBE-GGA, the Alexandria database).

Cell and atoms, written as extended XYZ:
```
12
Lattice="8.7456 -2.0037 0.0000 8.7456 2.0037 0.0000 -1.8548 0.0000 7.8425" Properties=species:S:1:pos:R:3 pbc="T T T"
Nd 0.0000 0.0000 0.0000
Nd 4.6437 0.0000 5.2257
Nd 10.9927 0.0000 2.6168
Y 5.5298 0.0000 1.3245
Y 10.1066 0.0000 6.5180
Th -0.9274 0.0000 3.9212
S 1.8370 0.0000 4.6581
S 2.8440 0.0000 0.5917
S 8.2099 0.0000 1.9413
S 7.4266 0.0000 5.9012
S 12.7925 0.0000 7.2508
S 13.7994 0.0000 3.1844
```

DFT total energy ... -83.2 eV per cell
Formation energy (no corrections) ... -23.7 eV per formula unit

Record 10
# NdY2Th3S6

A geometry-optimized NdY2Th3S6 structure (PBE-GGA, the Alexandria database).

Cell and atoms, written as extended XYZ:
```
12
Lattice="3.4447 -5.9204 0.0000 3.4447 5.9204 0.0000 -2.2612 0.0000 6.6862" Properties=species:S:1:pos:R:3 pbc="T T T"
Nd 0.0000 0.0000 0.0000
Y 3.4447 1.9784 0.0000
Y 3.4447 -1.9784 0.0000
Th 2.3141 3.9948 3.3431
Th 2.3141 0.0000 3.3431
Th 2.3141 -3.9948 3.3431
S 1.1851 2.0227 1.6159
S 0.0852 0.0000 5.1065
S 1.1851 -2.0227 1.6159
S 3.4430 2.0227 5.0703
S 4.5429 0.0000 1.5797
S 3.4430 -2.0227 5.0703
```

DFT total energy ... -87.6 eV per cell
Formation energy (no corrections) ... -22.9 eV per formula unit

Record 11
# NdYTh2S4

A geometry-optimized NdYTh2S4 structure (PBE-GGA, the Alexandria database).

Cell and atoms, written as extended XYZ:
```
8
Lattice="6.8883 0.0000 0.0000 0.0000 4.0156 0.0000 -2.3197 0.0000 6.6345" Properties=species:S:1:pos:R:3 pbc="T T T"
Nd 0.0000 0.0000 0.0000
Y 3.4441 2.0078 0.0000
Th -1.1599 2.0078 3.3172
Th 2.2843 0.0000 3.3172
S 1.1860 2.0078 1.6251
S 0.0223 0.0000 5.0365
S 4.5462 0.0000 1.5979
S 3.3825 2.0078 5.0094
```

DFT total energy ... -57.8 eV per cell
Formation energy (no corrections) ... -15.3 eV per formula unit

Record 12
# Nd4YTh3S8

A geometry-optimized Nd4YTh3S8 structure (PBE-GGA, the Alexandria database).

Cell and atoms, written as extended XYZ:
```
16
Lattice="4.0304 2.3269 6.6296 -4.0304 2.3269 6.6296 0.0000 -4.6539 6.6296" Properties=species:S:1:pos:R:3 pbc="T T T"
Nd 0.0000 0.0000 0.0000
Nd -2.0152 -1.1635 6.6296
Nd -2.0152 1.1635 13.2591
Nd 0.0000 2.3269 6.6296
Y 0.0000 0.0000 9.9443
Th -4.0304 0.0000 9.9443
Th -2.0152 1.1635 3.3148
Th 2.0152 1.1635 3.3148
S 0.0000 0.0000 4.9742
S -1.9800 -1.1432 11.5658
S 0.0000 -2.2863 8.3229
S -1.9800 1.1432 8.3229
S 1.9800 -1.1432 11.5658
S 0.0000 2.2863 11.5658
S 1.9800 1.1432 8.3229
S 0.0000 0.0000 14.9145
```

DFT total energy ... -111.9 eV per cell
Formation energy (no corrections) ... -31.1 eV per formula unit

Q: The lowest formation energy (no corrections) belongs to which entry?
A: Nd4YTh3S8